[1]
This record from the Alexandria database describes crystalline K2AlAg at its relaxed geometry. The functional is PBEsol.

Properties
Magnetic moment = 0.00 μB/f.u.
Density of states at the Fermi level = 0.584 states/eV/atom
E_form = 0.19 eV per atom
Total energy = -8.91 eV per formula unit

```
data_K2AlAg
_chemical_formula_sum 'K4 Al2 Ag2'
_cell_length_a 4.067
_cell_length_b 5.889
_cell_length_c 11.116
_cell_angle_alpha 90.00
_cell_angle_beta 90.00
_cell_angle_gamma 90.00
_space_group_name_H-M_alt 'I m m 2'
_space_group_IT_number 44
_space_group_name_Hall 'I 2 -2'
loop_
_atom_site_label
_atom_site_type_symbol
_atom_site_fract_x
_atom_site_fract_y
_atom_site_fract_z
K1 K 0.000 0.000 0.000
K2 K 0.000 0.500 0.192
Al1 Al 0.000 0.000 0.406
Ag1 Ag 0.000 0.500 0.776
```

[2]
This record from the Alexandria database describes crystalline K2AlAg at its relaxed geometry. The functional is PBEsol.

Properties
Magnetic moment = 0.00 μB/f.u.
Density of states at the Fermi level = 0.606 states/eV/atom
E_form = 0.19 eV per atom
Total energy = -8.91 eV per formula unit

```
data_K2AlAg
_chemical_formula_sum 'K4 Al2 Ag2'
_cell_length_a 4.555
_cell_length_b 5.176
_cell_length_c 12.163
_cell_angle_alpha 90.00
_cell_angle_beta 90.00
_cell_angle_gamma 90.00
_space_group_name_H-M_alt 'A m m 2'
_space_group_IT_number 38
_space_group_name_Hall 'A 2 -2'
loop_
_atom_site_label
_atom_site_type_symbol
_atom_site_fract_x
_atom_site_fract_y
_atom_site_fract_z
K1 K 0.000 0.000 0.000
K2 K 0.500 0.000 0.304
Al1 Al 0.500 0.000 0.607
Ag1 Ag 0.000 0.000 0.696
```

[3]
This record from the Alexandria database describes crystalline KAl2Ag at its relaxed geometry. The functional is PBEsol.

Properties
Magnetic moment = 0.00 μB/f.u.
Density of states at the Fermi level = 0.365 states/eV/atom
E_form = 0.17 eV per atom
Total energy = -11.94 eV per formula unit

```
data_KAl2Ag
_chemical_formula_sum 'K2 Al4 Ag2'
_cell_length_a 8.868
_cell_length_b 3.003
_cell_length_c 7.176
_cell_angle_alpha 90.00
_cell_angle_beta 96.62
_cell_angle_gamma 90.00
_space_group_name_H-M_alt 'C 1 m 1'
_space_group_IT_number 8
_space_group_name_Hall 'C -2y'
loop_
_atom_site_label
_atom_site_type_symbol
_atom_site_fract_x
_atom_site_fract_y
_atom_site_fract_z
K1 K 0.000 0.000 0.000
Al1 Al 0.002 0.500 0.507
Al2 Al 0.266 0.500 0.340
Ag1 Ag 0.232 0.000 0.659
```

[4]
This record from the Alexandria database describes crystalline KAl4Ag at its relaxed geometry. The functional is PBEsol.

Properties
Magnetic moment = 0.00 μB/f.u.
Density of states at the Fermi level = 0.363 states/eV/atom
E_form = 0.27 eV per atom
Total energy = -19.21 eV per formula unit

```
data_KAl4Ag
_chemical_formula_sum 'K4 Al16 Ag4'
_cell_length_a 7.876
_cell_length_b 7.876
_cell_length_c 7.876
_cell_angle_alpha 90.00
_cell_angle_beta 90.00
_cell_angle_gamma 90.00
_space_group_name_H-M_alt 'F -4 3 m'
_space_group_IT_number 216
_space_group_name_Hall 'F -4 2 3'
loop_
_atom_site_label
_atom_site_type_symbol
_atom_site_fract_x
_atom_site_fract_y
_atom_site_fract_z
K1 K 0.000 0.000 0.000
Al1 Al 0.126 0.126 0.374
Ag1 Ag 0.250 0.250 0.750
```

[5]
This record from the Alexandria database describes crystalline KAl2Ag2 at its relaxed geometry. The functional is PBEsol.

Properties
Magnetic moment = 0.00 μB/f.u.
Density of states at the Fermi level = 0.303 states/eV/atom
E_form = 0.00 eV per atom
Total energy = -15.95 eV per formula unit

```
data_KAl2Ag2
_chemical_formula_sum 'K2 Al4 Ag4'
_cell_length_a 8.529
_cell_length_b 8.529
_cell_length_c 2.814
_cell_angle_alpha 90.00
_cell_angle_beta 90.00
_cell_angle_gamma 90.00
_space_group_name_H-M_alt 'P 4/m b m'
_space_group_IT_number 127
_space_group_name_Hall '-P 4 2ab'
loop_
_atom_site_label
_atom_site_type_symbol
_atom_site_fract_x
_atom_site_fract_y
_atom_site_fract_z
K1 K 0.000 0.000 0.000
Al1 Al 0.128 0.372 0.500
Ag1 Ag 0.161 0.661 0.000
```

[6]
This record from the Alexandria database describes crystalline K2AlAg at its relaxed geometry. The functional is PBEsol.

Properties
Magnetic moment = 0.00 μB/f.u.
Density of states at the Fermi level = 0.802 states/eV/atom
E_form = 0.28 eV per atom
Total energy = -8.56 eV per formula unit

```
data_K2AlAg
_chemical_formula_sum 'K8 Al4 Ag4'
_cell_length_a 12.052
_cell_length_b 12.052
_cell_length_c 4.933
_cell_angle_alpha 90.00
_cell_angle_beta 90.00
_cell_angle_gamma 90.00
_space_group_name_H-M_alt 'I -4 2 d'
_space_group_IT_number 122
_space_group_name_Hall 'I -4 2bw'
loop_
_atom_site_label
_atom_site_type_symbol
_atom_site_fract_x
_atom_site_fract_y
_atom_site_fract_z
K1 K 0.086 0.250 0.125
Al1 Al 0.000 0.000 0.500
Ag1 Ag 0.000 0.000 0.000
```

[7]
This record from the Alexandria database describes crystalline KAlTcAg2 at its relaxed geometry. The functional is PBEsol.

Properties
Magnetic moment = 3.35 μB/f.u.
Density of states at the Fermi level = 0.705 states/eV/atom
E_form = 2.20 eV per atom
Total energy = -12.10 eV per formula unit

```
data_KAlTcAg2
_chemical_formula_sum 'K1 Al1 Tc1 Ag2'
_cell_length_a 4.972
_cell_length_b 4.972
_cell_length_c 5.245
_cell_angle_alpha 90.00
_cell_angle_beta 90.00
_cell_angle_gamma 90.00
_space_group_name_H-M_alt 'P 4/m m m'
_space_group_IT_number 123
_space_group_name_Hall '-P 4 2'
loop_
_atom_site_label
_atom_site_type_symbol
_atom_site_fract_x
_atom_site_fract_y
_atom_site_fract_z
K1 K 0.000 0.000 0.000
Al1 Al 0.000 0.000 0.500
Tc1 Tc 0.500 0.500 0.500
Ag1 Ag 0.000 0.500 0.000
```

[8]
This record from the Alexandria database describes crystalline LaAlAg4 at its relaxed geometry. The functional is PBEsol.

Properties
Magnetic moment = 0.00 μB/f.u.
Density of states at the Fermi level = 0.262 states/eV/atom
E_form = -0.19 eV per atom
Total energy = -23.84 eV per formula unit

```
data_LaAlAg4
_chemical_formula_sum 'La4 Al4 Ag16'
_cell_length_a 7.796
_cell_length_b 7.796
_cell_length_c 7.796
_cell_angle_alpha 90.00
_cell_angle_beta 90.00
_cell_angle_gamma 90.00
_space_group_name_H-M_alt 'F -4 3 m'
_space_group_IT_number 216
_space_group_name_Hall 'F -4 2 3'
loop_
_atom_site_label
_atom_site_type_symbol
_atom_site_fract_x
_atom_site_fract_y
_atom_site_fract_z
La1 La 0.000 0.000 0.000
Al1 Al 0.250 0.250 0.750
Ag1 Ag 0.124 0.124 0.376
```

[9]
This record from the Alexandria database describes crystalline LaAlAg at its relaxed geometry. The functional is PBEsol.

Properties
Magnetic moment = 0.00 μB/f.u.
Density of states at the Fermi level = 0.877 states/eV/atom
E_form = -0.24 eV per atom
Total energy = -13.46 eV per formula unit

```
data_LaAlAg
_chemical_formula_sum 'La2 Al2 Ag2'
_cell_length_a 3.298
_cell_length_b 3.298
_cell_length_c 12.001
_cell_angle_alpha 90.00
_cell_angle_beta 90.00
_cell_angle_gamma 90.00
_space_group_name_H-M_alt 'I 4 m m'
_space_group_IT_number 107
_space_group_name_Hall 'I 4 -2'
loop_
_atom_site_label
_atom_site_type_symbol
_atom_site_fract_x
_atom_site_fract_y
_atom_site_fract_z
La1 La 0.000 0.000 0.000
Al1 Al 0.000 0.000 0.308
Ag1 Ag 0.000 0.000 0.696
```

[10]
This record from the Alexandria database describes crystalline LaAlAg2 at its relaxed geometry. The functional is PBEsol.

Properties
Magnetic moment = 0.00 μB/f.u.
Density of states at the Fermi level = 0.510 states/eV/atom
E_form = -0.27 eV per atom
Total energy = -17.15 eV per formula unit

```
data_LaAlAg2
_chemical_formula_sum 'La4 Al4 Ag8'
_cell_length_a 6.980
_cell_length_b 6.980
_cell_length_c 6.980
_cell_angle_alpha 90.00
_cell_angle_beta 90.00
_cell_angle_gamma 90.00
_space_group_name_H-M_alt 'F m -3 m'
_space_group_IT_number 225
_space_group_name_Hall '-F 4 2 3'
loop_
_atom_site_label
_atom_site_type_symbol
_atom_site_fract_x
_atom_site_fract_y
_atom_site_fract_z
La1 La 0.000 0.000 0.000
Al1 Al 0.000 0.000 0.500
Ag1 Ag 0.250 0.250 0.250
```

[11]
This record from the Alexandria database describes crystalline La2AlAg2 at its relaxed geometry. The functional is PBEsol.

Properties
Magnetic moment = 0.00 μB/f.u.
Density of states at the Fermi level = 0.812 states/eV/atom
E_form = -0.27 eV per atom
Total energy = -22.74 eV per formula unit

```
data_La2AlAg2
_chemical_formula_sum 'La4 Al2 Ag4'
_cell_length_a 7.708
_cell_length_b 7.708
_cell_length_c 4.209
_cell_angle_alpha 90.00
_cell_angle_beta 90.00
_cell_angle_gamma 90.00
_space_group_name_H-M_alt 'P 4/m b m'
_space_group_IT_number 127
_space_group_name_Hall '-P 4 2ab'
loop_
_atom_site_label
_atom_site_type_symbol
_atom_site_fract_x
_atom_site_fract_y
_atom_site_fract_z
La1 La 0.177 0.323 0.000
Al1 Al 0.000 0.000 0.500
Ag1 Ag 0.128 0.628 0.500
```

[12]
This record from the Alexandria database describes crystalline La2Al2Ag at its relaxed geometry. The functional is PBEsol.

Properties
Magnetic moment = 0.00 μB/f.u.
Density of states at the Fermi level = 1.019 states/eV/atom
E_form = -0.31 eV per atom
Total energy = -23.74 eV per formula unit

```
data_La2Al2Ag
_chemical_formula_sum 'La4 Al4 Ag2'
_cell_length_a 6.951
_cell_length_b 6.951
_cell_length_c 5.008
_cell_angle_alpha 90.00
_cell_angle_beta 90.00
_cell_angle_gamma 90.00
_space_group_name_H-M_alt 'P 4/m b m'
_space_group_IT_number 127
_space_group_name_Hall '-P 4 2ab'
loop_
_atom_site_label
_atom_site_type_symbol
_atom_site_fract_x
_atom_site_fract_y
_atom_site_fract_z
La1 La 0.165 0.335 0.000
Al1 Al 0.139 0.639 0.500
Ag1 Ag 0.000 0.000 0.500
```

[13]
This record from the Alexandria database describes crystalline LaAlAg at its relaxed geometry. The functional is PBEsol.

Properties
Magnetic moment = 0.00 μB/f.u.
Density of states at the Fermi level = 0.925 states/eV/atom
E_form = 0.37 eV per atom
Total energy = -11.64 eV per formula unit

```
data_LaAlAg
_chemical_formula_sum 'La4 Al4 Ag4'
_cell_length_a 6.996
_cell_length_b 6.996
_cell_length_c 6.996
_cell_angle_alpha 90.00
_cell_angle_beta 90.00
_cell_angle_gamma 90.00
_space_group_name_H-M_alt 'F -4 3 m'
_space_group_IT_number 216
_space_group_name_Hall 'F -4 2 3'
loop_
_atom_site_label
_atom_site_type_symbol
_atom_site_fract_x
_atom_site_fract_y
_atom_site_fract_z
La1 La 0.000 0.000 0.000
Al1 Al 0.250 0.250 0.750
Ag1 Ag 0.250 0.250 0.250
```